Record 1
# Sc2Ir2Pt

Crystalline Sc2Ir2Pt at its relaxed geometry (PBE-GGA, Alexandria via LeMat-Bulk).

POSCAR file:
```
Sc2Ir2Pt
1.0
6.870 0.000 0.000
0.000 6.870 0.000
0.000 0.000 3.783
Sc Ir Pt
4 4 2
Cartesian
1.220 2.215 0.000
2.215 5.650 0.000
4.655 1.220 0.000
5.650 4.655 0.000
0.901 4.335 1.892
2.534 0.901 1.892
4.335 5.969 1.892
5.969 2.534 1.892
0.000 0.000 1.892
3.435 3.435 1.892
```

Values from the calculation:
**Calculated volume**: 89 Å³/f.u.
**D(E_F)**: 0.51 states/eV/atom
**Total magnetic moment**: 0.00 μB per formula unit
**Energy**: -80.89 eV per cell
**Symmetry**: P4/mbm

Record 2
# Sc4IrPt

Crystalline Sc4IrPt at its relaxed geometry (PBE-GGA, Alexandria via LeMat-Bulk).

POSCAR file:
```
Sc4IrPt
1.0
4.534 0.000 0.000
0.000 4.534 0.000
0.000 0.000 6.430
Sc Ir Pt
4 1 1
Cartesian
0.000 2.267 1.578
0.000 2.267 4.852
2.267 0.000 1.578
2.267 0.000 4.852
0.000 0.000 0.000
2.267 2.267 3.215
```

Values from the calculation:
**Energy relative to the lowest polymorph listed for this composition**: 41 meV per atom
**Calculated volume**: 132 Å³/f.u.
**D(E_F)**: 1.22 states/eV/atom
**Total magnetic moment**: 0.00 μB per formula unit
**Symmetry**: P4/mmm

Record 3
# ScIr2Pt

Crystalline ScIr2Pt at its relaxed geometry (PBE-GGA, Alexandria via LeMat-Bulk).

POSCAR file:
```
ScIr2Pt
1.0
2.826 -3.786 0.000
2.826 3.786 0.000
0.000 0.000 2.935
Sc Ir Pt
1 2 1
Cartesian
0.000 0.000 0.000
1.413 1.893 1.468
1.413 -1.893 1.468
2.826 0.000 0.000
```

Values from the calculation:
**Calculated volume**: 63 Å³/f.u.
**D(E_F)**: 0.74 states/eV/atom
**Total magnetic moment**: 0.00 μB per formula unit
**Energy**: -32.26 eV per cell
**Symmetry**: Cmmm

Record 4
# Sc5IrPt4

Crystalline Sc5IrPt4 at its relaxed geometry (PBE-GGA, Alexandria via LeMat-Bulk).

POSCAR file:
```
Sc5IrPt4
1.0
3.229 0.000 0.000
0.000 3.229 0.000
0.000 0.000 17.003
Sc Ir Pt
5 1 4
Cartesian
0.000 0.000 0.000
0.000 0.000 3.435
0.000 0.000 6.856
0.000 0.000 10.147
0.000 0.000 13.568
1.615 1.615 8.501
1.615 1.615 1.712
1.615 1.615 5.122
1.615 1.615 11.881
1.615 1.615 15.291
```

Values from the calculation:
**Calculated volume**: 177 Å³/f.u.
**D(E_F)**: 0.49 states/eV/atom
**Total magnetic moment**: 0.00 μB per formula unit
**Energy**: -76.64 eV per cell
**Symmetry**: P4/mmm

Record 5
# ScIr2Pt

Crystalline ScIr2Pt at its relaxed geometry (PBE-GGA, Alexandria via LeMat-Bulk).

POSCAR file:
```
ScIr2Pt
1.0
1.447 0.835 8.847
-1.447 0.835 8.847
0.000 -1.670 8.847
Sc Ir Pt
1 2 1
Cartesian
0.000 0.000 0.000
0.000 0.000 6.681
0.000 0.000 19.861
0.000 0.000 13.271
```

Values from the calculation:
**Calculated volume**: 64 Å³/f.u.
**D(E_F)**: 1.62 states/eV/atom
**Total magnetic moment**: 0.00 μB per formula unit
**Energy**: -30.68 eV per cell
**Symmetry**: R-3m

Record 6
# ScIrPt2

Crystalline ScIrPt2 at its relaxed geometry (PBE-GGA, Alexandria via LeMat-Bulk).

POSCAR file:
```
ScIrPt2
1.0
4.696 -1.454 0.000
4.696 1.454 0.000
-0.943 0.000 4.730
Sc Ir Pt
1 1 2
Cartesian
0.000 0.000 0.000
6.749 0.000 1.245
1.629 0.000 3.556
4.179 0.000 2.327
```

Values from the calculation:
**Calculated volume**: 65 Å³/f.u.
**D(E_F)**: 1.31 states/eV/atom
**Total magnetic moment**: 0.00 μB per formula unit
**Energy**: -29.69 eV per cell
**Symmetry**: Cm

Record 7
# ScIr2Pt

Crystalline ScIr2Pt at its relaxed geometry (PBE-GGA, Alexandria via LeMat-Bulk).

POSCAR file:
```
ScIr2Pt
1.0
1.426 0.824 9.033
-1.426 0.824 9.033
0.000 -1.647 9.033
Sc Ir Pt
1 2 1
Cartesian
0.000 0.000 0.000
0.000 0.000 13.478
0.000 0.000 20.353
0.000 0.000 6.772
```

Values from the calculation:
**Calculated volume**: 64 Å³/f.u.
**D(E_F)**: 1.43 states/eV/atom
**Total magnetic moment**: 0.22 μB per formula unit
**Energy**: -30.77 eV per cell
**Symmetry**: R3m

Record 8
# ScIrPt2

Crystalline ScIrPt2 at its relaxed geometry (PBE-GGA, Alexandria via LeMat-Bulk).

POSCAR file:
```
ScIrPt2
1.0
4.705 0.000 0.000
0.000 2.996 0.000
-1.342 0.000 4.552
Sc Ir Pt
1 1 2
Cartesian
0.000 0.000 0.000
2.352 1.498 0.000
-0.671 1.498 2.276
1.682 0.000 2.276
```

Values from the calculation:
**Calculated volume**: 64 Å³/f.u.
**D(E_F)**: 0.58 states/eV/atom
**Total magnetic moment**: 0.00 μB per formula unit
**Energy**: -29.97 eV per cell
**Symmetry**: P2/m

Record 9
# ScIr3Pt

Crystalline ScIr3Pt at its relaxed geometry (PBE-GGA, Alexandria via LeMat-Bulk).

POSCAR file:
```
ScIr3Pt
1.0
4.789 0.000 0.000
0.000 4.789 0.000
0.000 0.000 4.789
Sc Ir Pt
1 3 1
Cartesian
0.000 0.000 0.000
0.000 2.395 2.395
2.395 0.000 2.395
2.395 2.395 0.000
2.395 2.395 2.395
```

Values from the calculation:
**Energy relative to the lowest polymorph listed for this composition**: 0 meV per atom
**Calculated volume**: 110 Å³/f.u.
**D(E_F)**: 1.46 states/eV/atom
**Total magnetic moment**: 2.19 μB per formula unit
**Symmetry**: Pm-3m

Record 10
# ScIrPt2

Crystalline ScIrPt2 at its relaxed geometry (PBE-GGA, Alexandria via LeMat-Bulk).

POSCAR file:
```
ScIrPt2
1.0
2.847 0.000 0.000
0.000 2.847 0.000
0.000 0.000 7.995
Sc Ir Pt
1 1 2
Cartesian
0.000 0.000 0.000
1.423 1.423 1.948
0.000 0.000 3.904
1.423 1.423 5.963
```

Values from the calculation:
**Calculated volume**: 65 Å³/f.u.
**D(E_F)**: 1.27 states/eV/atom
**Total magnetic moment**: 0.00 μB per formula unit
**Energy**: -29.18 eV per cell
**Symmetry**: P4mm

Record 11
# Sc4IrPt

Crystalline Sc4IrPt at its relaxed geometry (PBE-GGA, Alexandria via LeMat-Bulk).

POSCAR file:
```
Sc4IrPt
1.0
7.670 0.000 0.000
0.000 4.348 0.000
0.000 0.000 14.820
Sc Ir Pt
16 4 4
Cartesian
0.082 1.087 1.186
0.630 1.087 11.430
1.041 1.087 5.045
1.109 1.087 8.325
2.726 3.261 0.915
2.793 3.261 12.455
3.205 3.261 4.020
3.753 3.261 8.596
3.917 1.087 6.224
4.465 1.087 10.801
4.876 1.087 2.365
4.944 1.087 13.905
6.561 3.261 6.495
6.628 3.261 9.775
7.040 3.261 3.391
7.588 3.261 13.635
1.534 3.261 10.066
2.301 1.087 2.655
5.369 3.261 12.165
6.136 1.087 4.755
1.854 1.087 13.969
1.981 3.261 6.559
5.689 1.087 8.261
5.816 3.261 0.851
```

Values from the calculation:
**Energy relative to the lowest polymorph listed for this composition**: 0 meV per atom
**Calculated volume**: 124 Å³/f.u.
**D(E_F)**: 1.21 states/eV/atom
**Total magnetic moment**: 0.00 μB per formula unit
**Symmetry**: Pnma

Record 12
# ScIrPt2

Crystalline ScIrPt2 at its relaxed geometry (PBE-GGA, Alexandria via LeMat-Bulk).

POSCAR file:
```
ScIrPt2
1.0
-1.981 1.981 4.072
1.981 -1.981 4.072
1.981 1.981 -4.072
Sc Ir Pt
1 1 2
Cartesian
0.000 0.000 0.000
0.000 0.000 4.072
1.981 0.000 2.036
0.000 1.981 2.036
```

Values from the calculation:
**Calculated volume**: 64 Å³/f.u.
**D(E_F)**: 1.21 states/eV/atom
**Total magnetic moment**: 0.00 μB per formula unit
**Energy**: -30.14 eV per cell
**Symmetry**: I4/mmm